Record 1
# ErPuB12 (PBE-GGA, relaxed)
# Formation energy from the elements (eV per atom): -0.38
# E_tot (eV per atom): -7.451
# D(E_F) (states/eV per cell): 7.20
# Magnetic moment (Bohr magnetons per cell): 5.44
data_ErPuB12
_chemical_formula_sum 'Er1 Pu1 B12'
_cell_length_a 4.098
_cell_length_b 4.098
_cell_length_c 8.195
_cell_angle_alpha 90.00
_cell_angle_beta 90.00
_cell_angle_gamma 90.00
_symmetry_space_group_name_H-M 'P 1'
_symmetry_Int_Tables_number 1
loop_
_symmetry_equiv_pos_as_xyz
'x,y,z'
loop_
_atom_site_label
_atom_site_fract_x
_atom_site_fract_y
_atom_site_fract_z
_atom_site_occupancy
Er1 0.000 0.000 0.000 1
Pu1 0.000 0.000 0.500 1
B1 0.199 0.500 0.249 1
B2 0.199 0.500 0.751 1
B3 0.500 0.199 0.249 1
B4 0.500 0.199 0.751 1
B5 0.500 0.500 0.099 1
B6 0.500 0.500 0.400 1
B7 0.500 0.500 0.600 1
B8 0.500 0.500 0.901 1
B9 0.500 0.801 0.249 1
B10 0.500 0.801 0.751 1
B11 0.801 0.500 0.249 1
B12 0.801 0.500 0.751 1

---

Record 2
# Ba2TaBr (PBE-GGA, relaxed)
# Offset from the most stable computed form (kJ/mol of formula units): 140
# E_tot (eV per atom): -3.870
# D(E_F) (states/eV per cell): 9.61
# Magnetic moment (Bohr magnetons per cell): 8.58
data_Ba2TaBr
_chemical_formula_sum 'Ba4 Ta2 Br2'
_cell_length_a 7.669
_cell_length_b 7.669
_cell_length_c 7.669
_cell_angle_alpha 109.61
_cell_angle_beta 109.61
_cell_angle_gamma 109.19
_symmetry_space_group_name_H-M 'P 1'
_symmetry_Int_Tables_number 1
loop_
_symmetry_equiv_pos_as_xyz
'x,y,z'
loop_
_atom_site_label
_atom_site_fract_x
_atom_site_fract_y
_atom_site_fract_z
_atom_site_occupancy
Ba1 0.112 0.625 0.987 1
Ba2 0.375 0.362 0.487 1
Ba3 0.638 0.125 0.013 1
Ba4 0.875 0.888 0.513 1
Ta1 0.250 0.750 0.500 1
Ta2 0.500 0.500 0.000 1
Br1 0.000 0.000 0.000 1
Br2 0.750 0.250 0.500 1

---

Record 3
# Y2CuCl (PBE-GGA, relaxed)
# Offset from the most stable computed form (kJ/mol of formula units): 159
# E_tot (eV per atom): -5.076
# D(E_F) (states/eV per cell): 8.66
# Magnetic moment (Bohr magnetons per cell): 0.00
data_Y2CuCl
_chemical_formula_sum 'Y4 Cu2 Cl2'
_cell_length_a 7.748
_cell_length_b 7.748
_cell_length_c 7.748
_cell_angle_alpha 133.67
_cell_angle_beta 133.67
_cell_angle_gamma 67.60
_symmetry_space_group_name_H-M 'P 1'
_symmetry_Int_Tables_number 1
loop_
_symmetry_equiv_pos_as_xyz
'x,y,z'
loop_
_atom_site_label
_atom_site_fract_x
_atom_site_fract_y
_atom_site_fract_z
_atom_site_occupancy
Y1 0.115 0.625 0.990 1
Y2 0.375 0.365 0.490 1
Y3 0.635 0.125 0.010 1
Y4 0.875 0.885 0.510 1
Cu1 0.000 0.000 0.000 1
Cu2 0.750 0.250 0.500 1
Cl1 0.250 0.750 0.500 1
Cl2 0.500 0.500 0.000 1

---

Record 4
# Nd2TmHg5 (PBE-GGA, relaxed)
# Formation energy from the elements (eV per atom): -0.40
# E_tot (eV per atom): -2.339
# D(E_F) (states/eV per cell): 6.18
# Magnetic moment (Bohr magnetons per cell): 0.28
data_Nd2TmHg5
_chemical_formula_sum 'Nd2 Tm1 Hg5'
_cell_length_a 8.435
_cell_length_b 8.435
_cell_length_c 8.435
_cell_angle_alpha 144.07
_cell_angle_beta 144.07
_cell_angle_gamma 51.72
_symmetry_space_group_name_H-M 'P 1'
_symmetry_Int_Tables_number 1
loop_
_symmetry_equiv_pos_as_xyz
'x,y,z'
loop_
_atom_site_label
_atom_site_fract_x
_atom_site_fract_y
_atom_site_fract_z
_atom_site_occupancy
Nd1 0.237 0.237 0.000 1
Nd2 0.763 0.763 0.000 1
Tm1 0.500 0.500 0.000 1
Hg1 0.000 0.000 0.000 1
Hg2 0.117 0.617 0.500 1
Hg3 0.383 0.883 0.500 1
Hg4 0.617 0.117 0.500 1
Hg5 0.883 0.383 0.500 1

---

Record 5
# TlNi4P2 (PBE-GGA, relaxed)
# Formation energy from the elements (eV per atom): -0.19
# E_tot (eV per atom): -5.378
# D(E_F) (states/eV per cell): 5.87
# Magnetic moment (Bohr magnetons per cell): 0.00
data_TlNi4P2
_chemical_formula_sum 'Tl1 Ni4 P2'
_cell_length_a 8.784
_cell_length_b 8.784
_cell_length_c 3.566
_cell_angle_alpha 90.00
_cell_angle_beta 90.00
_cell_angle_gamma 155.89
_symmetry_space_group_name_H-M 'P 1'
_symmetry_Int_Tables_number 1
loop_
_symmetry_equiv_pos_as_xyz
'x,y,z'
loop_
_atom_site_label
_atom_site_fract_x
_atom_site_fract_y
_atom_site_fract_z
_atom_site_occupancy
Tl1 0.000 0.000 0.000 1
Ni1 0.196 0.804 0.500 1
Ni2 0.301 0.699 0.000 1
Ni3 0.699 0.301 0.000 1
Ni4 0.804 0.196 0.500 1
P1 0.375 0.625 0.500 1
P2 0.625 0.375 0.500 1

---

Record 6
# ZnCr2Ru (PBE-GGA, relaxed)
# Formation energy from the elements (eV per atom): 0.27
# E_tot (eV per atom): -7.181
# D(E_F) (states/eV per cell): 3.90
# Magnetic moment (Bohr magnetons per cell): 3.94
data_ZnCr2Ru
_chemical_formula_sum 'Zn1 Cr2 Ru1'
_cell_length_a 4.291
_cell_length_b 4.291
_cell_length_c 2.921
_cell_angle_alpha 90.00
_cell_angle_beta 90.00
_cell_angle_gamma 90.00
_symmetry_space_group_name_H-M 'P 1'
_symmetry_Int_Tables_number 1
loop_
_symmetry_equiv_pos_as_xyz
'x,y,z'
loop_
_atom_site_label
_atom_site_fract_x
_atom_site_fract_y
_atom_site_fract_z
_atom_site_occupancy
Zn1 0.000 0.000 0.000 1
Cr1 0.000 0.500 0.500 1
Cr2 0.500 0.000 0.500 1
Ru1 0.500 0.500 0.000 1

---

Record 7
# Li3Ac2ZrS6 (PBE-GGA, relaxed)
# E_tot (eV per atom): -5.585
# D(E_F) (states/eV per cell): 4.64
# Magnetic moment (Bohr magnetons per cell): 0.00
data_Li3Ac2ZrS6
_chemical_formula_sum 'Li3 Ac2 Zr1 S6'
_cell_length_a 7.217
_cell_length_b 7.217
_cell_length_c 6.547
_cell_angle_alpha 98.80
_cell_angle_beta 98.80
_cell_angle_gamma 121.85
_symmetry_space_group_name_H-M 'P 1'
_symmetry_Int_Tables_number 1
loop_
_symmetry_equiv_pos_as_xyz
'x,y,z'
loop_
_atom_site_label
_atom_site_fract_x
_atom_site_fract_y
_atom_site_fract_z
_atom_site_occupancy
Li1 0.000 0.000 0.000 1
Li2 0.378 0.622 0.000 1
Li3 0.622 0.378 0.000 1
Ac1 0.171 0.829 0.500 1
Ac2 0.829 0.171 0.500 1
Zr1 0.500 0.500 0.500 1
S1 0.130 0.421 0.242 1
S2 0.264 0.264 0.745 1
S3 0.421 0.130 0.242 1
S4 0.579 0.870 0.758 1
S5 0.736 0.736 0.255 1
S6 0.870 0.579 0.758 1

---

Record 8
# CdAuCl2 (PBE-GGA, relaxed)
# Offset from the most stable computed form (kJ/mol of formula units): 10
# E_tot (eV per atom): -2.371
# D(E_F) (states/eV per cell): 1.69
# Magnetic moment (Bohr magnetons per cell): 0.00
data_CdAuCl2
_chemical_formula_sum 'Cd1 Au1 Cl2'
_cell_length_a 8.316
_cell_length_b 8.316
_cell_length_c 8.316
_cell_angle_alpha 27.04
_cell_angle_beta 27.04
_cell_angle_gamma 27.04
_symmetry_space_group_name_H-M 'P 1'
_symmetry_Int_Tables_number 1
loop_
_symmetry_equiv_pos_as_xyz
'x,y,z'
loop_
_atom_site_label
_atom_site_fract_x
_atom_site_fract_y
_atom_site_fract_z
_atom_site_occupancy
Cd1 0.000 0.000 0.000 1
Au1 0.260 0.260 0.260 1
Cl1 0.535 0.535 0.535 1
Cl2 0.728 0.728 0.728 1

---

Record 9
# AcMgPd2 (PBE-GGA, relaxed)
# Formation energy from the elements (eV per atom): -0.58
# E_tot (eV per atom): -4.603
# D(E_F) (states/eV per cell): 1.57
# Magnetic moment (Bohr magnetons per cell): 0.00
data_AcMgPd2
_chemical_formula_sum 'Ac1 Mg1 Pd2'
_cell_length_a 5.026
_cell_length_b 5.026
_cell_length_c 3.565
_cell_angle_alpha 90.00
_cell_angle_beta 90.00
_cell_angle_gamma 90.00
_symmetry_space_group_name_H-M 'P 1'
_symmetry_Int_Tables_number 1
loop_
_symmetry_equiv_pos_as_xyz
'x,y,z'
loop_
_atom_site_label
_atom_site_fract_x
_atom_site_fract_y
_atom_site_fract_z
_atom_site_occupancy
Ac1 0.000 0.000 0.000 1
Mg1 0.500 0.500 0.000 1
Pd1 0.000 0.500 0.500 1
Pd2 0.500 0.000 0.500 1

---

Record 10
# Pm4NdSmHo2 (PBE-GGA, relaxed)
# Formation energy from the elements (eV per atom): 0.02
# E_tot (eV per atom): -4.689
# D(E_F) (states/eV per cell): 11.40
# Magnetic moment (Bohr magnetons per cell): 0.00
data_Pm4NdSmHo2
_chemical_formula_sum 'Pm4 Nd1 Sm1 Ho2'
_cell_length_a 6.259
_cell_length_b 3.626
_cell_length_c 12.003
_cell_angle_alpha 90.00
_cell_angle_beta 100.12
_cell_angle_gamma 90.00
_symmetry_space_group_name_H-M 'P 1'
_symmetry_Int_Tables_number 1
loop_
_symmetry_equiv_pos_as_xyz
'x,y,z'
loop_
_atom_site_label
_atom_site_fract_x
_atom_site_fract_y
_atom_site_fract_z
_atom_site_occupancy
Pm1 0.248 0.000 0.248 1
Pm2 0.250 0.500 0.750 1
Pm3 0.750 0.500 0.250 1
Pm4 0.752 0.000 0.752 1
Nd1 0.500 0.500 0.500 1
Sm1 0.500 0.000 0.000 1
Ho1 0.000 0.000 0.500 1
Ho2 0.000 0.500 0.000 1

---

Record 11
# KDy2Ag2Se4 (PBE-GGA, relaxed)
# E_tot (eV per atom): -4.424
# D(E_F) (states/eV per cell): 3.67
# Magnetic moment (Bohr magnetons per cell): 0.00
data_KDy2Ag2Se4
_chemical_formula_sum 'K1 Dy2 Ag2 Se4'
_cell_length_a 7.834
_cell_length_b 7.834
_cell_length_c 8.334
_cell_angle_alpha 115.32
_cell_angle_beta 115.32
_cell_angle_gamma 28.70
_symmetry_space_group_name_H-M 'P 1'
_symmetry_Int_Tables_number 1
loop_
_symmetry_equiv_pos_as_xyz
'x,y,z'
loop_
_atom_site_label
_atom_site_fract_x
_atom_site_fract_y
_atom_site_fract_z
_atom_site_occupancy
K1 0.000 0.000 0.000 1
Dy1 0.127 0.127 0.559 1
Dy2 0.873 0.873 0.441 1
Ag1 0.305 0.305 0.960 1
Ag2 0.695 0.695 0.040 1
Se1 0.218 0.218 0.301 1
Se2 0.470 0.470 0.290 1
Se3 0.530 0.530 0.710 1
Se4 0.782 0.782 0.699 1

---

Record 12
# NaSr8Cd2 (PBE-GGA, relaxed)
# Offset from the most stable computed form (kJ/mol of formula units): 0
# Formation energy from the elements (eV per atom): -0.09
# E_tot (eV per atom): -1.600
# D(E_F) (states/eV per cell): 14.97
# Magnetic moment (Bohr magnetons per cell): 0.00
data_NaSr8Cd2
_chemical_formula_sum 'Na1 Sr8 Cd2'
_cell_length_a 10.912
_cell_length_b 10.912
_cell_length_c 8.852
_cell_angle_alpha 109.24
_cell_angle_beta 109.24
_cell_angle_gamma 30.44
_symmetry_space_group_name_H-M 'P 1'
_symmetry_Int_Tables_number 1
loop_
_symmetry_equiv_pos_as_xyz
'x,y,z'
loop_
_atom_site_label
_atom_site_fract_x
_atom_site_fract_y
_atom_site_fract_z
_atom_site_occupancy
Na1 0.000 0.000 0.000 1
Sr1 0.099 0.099 0.485 1
Sr2 0.179 0.179 0.957 1
Sr3 0.306 0.306 0.694 1
Sr4 0.464 0.464 0.236 1
Sr5 0.536 0.536 0.764 1
Sr6 0.694 0.694 0.306 1
Sr7 0.821 0.821 0.043 1
Sr8 0.901 0.901 0.515 1
Cd1 0.313 0.313 0.304 1
Cd2 0.687 0.687 0.696 1